Record 1
# GGA-PBE SmMg4Ir2, optimized geometry
data_SmMg4Ir2
_chemical_formula_sum 'Sm2 Mg8 Ir4'
_cell_length_a 8.223
_cell_length_b 8.223
_cell_length_c 4.172
_cell_angle_alpha 90.00
_cell_angle_beta 90.00
_cell_angle_gamma 90.00
_space_group_name_H-M_alt 'P 1'
_space_group_IT_number 1
_space_group_name_Hall 'P 1'
loop_
_atom_site_label
_atom_site_type_symbol
_atom_site_fract_x
_atom_site_fract_y
_atom_site_fract_z
Sm1 Sm 0.000 0.000 0.000
Sm2 Sm 0.500 0.500 0.500
Mg1 Mg 0.097 0.337 0.500
Mg2 Mg 0.163 0.597 0.000
Mg3 Mg 0.337 0.097 0.500
Mg4 Mg 0.403 0.837 0.000
Mg5 Mg 0.597 0.163 0.000
Mg6 Mg 0.663 0.903 0.500
Mg7 Mg 0.837 0.403 0.000
Mg8 Mg 0.903 0.663 0.500
Ir1 Ir 0.199 0.801 0.500
Ir2 Ir 0.301 0.301 0.000
Ir3 Ir 0.699 0.699 0.000
Ir4 Ir 0.801 0.199 0.500
# - Calculated total energy: -0.331 Ry/atom
# - D(E_F): 5.0 states/eV/cell
# - Formation energy from the elements: -381 meV per atom
# - Space-group type: P4_2/mnm (136)

Record 2
# GGA-PBE InNi2Os, optimized geometry
data_InNi2Os
_chemical_formula_sum 'In1 Ni2 Os1'
_cell_length_a 4.631
_cell_length_b 4.631
_cell_length_c 4.718
_cell_angle_alpha 100.90
_cell_angle_beta 100.90
_cell_angle_gamma 34.68
_space_group_name_H-M_alt 'P 1'
_space_group_IT_number 1
_space_group_name_Hall 'P 1'
loop_
_atom_site_label
_atom_site_type_symbol
_atom_site_fract_x
_atom_site_fract_y
_atom_site_fract_z
In1 In 0.000 0.000 0.000
Ni1 Ni 0.248 0.248 0.758
Ni2 Ni 0.501 0.501 0.509
Os1 Os 0.760 0.760 0.315
# - Calculated total energy: -0.453 Ry/atom
# - D(E_F): 4.3 states/eV/cell
# - Formation energy from the elements: 218 meV per atom
# - Space-group type: Cm (8)

Record 3
# GGA-PBE ScGeOs, optimized geometry
data_ScGeOs
_chemical_formula_sum 'Sc2 Ge2 Os2'
_cell_length_a 4.536
_cell_length_b 4.536
_cell_length_c 5.325
_cell_angle_alpha 90.00
_cell_angle_beta 90.00
_cell_angle_gamma 111.01
_space_group_name_H-M_alt 'P 1'
_space_group_IT_number 1
_space_group_name_Hall 'P 1'
loop_
_atom_site_label
_atom_site_type_symbol
_atom_site_fract_x
_atom_site_fract_y
_atom_site_fract_z
Sc1 Sc 0.152 0.848 0.750
Sc2 Sc 0.848 0.152 0.250
Ge1 Ge 0.204 0.796 0.250
Ge2 Ge 0.796 0.204 0.750
Os1 Os 0.500 0.500 0.000
Os2 Os 0.500 0.500 0.500
# - Calculated total energy: -0.559 Ry/atom
# - D(E_F): 3.9 states/eV/cell
# - Formation energy from the elements: -219 meV per atom
# - Space-group type: Cmcm (63)